Record 1
Compound: NiBiSe2
Source: the Alexandria database
Functional: PBE
Structure: optimized geometry

Computed properties:
magnetic moment: 0.00 μB per atom
raw formation energy: -122 meV/atom

Cell: 6.197 6.197 11.051 Å, 90.00 90.00 90.00°
Fractional positions:
1 Ni 0.000 0.000 0.000
2 Ni 0.000 0.500 0.250
3 Ni 0.500 0.000 0.750
4 Ni 0.500 0.500 0.500
5 Bi 0.000 0.000 0.500
6 Bi 0.000 0.500 0.750
7 Bi 0.500 0.000 0.250
8 Bi 0.500 0.500 0.000
9 Se 0.172 0.250 0.125
10 Se 0.250 0.672 0.375
11 Se 0.250 0.828 0.875
12 Se 0.328 0.250 0.625
13 Se 0.672 0.750 0.625
14 Se 0.750 0.172 0.875
15 Se 0.750 0.328 0.375
16 Se 0.828 0.750 0.125

Record 2
Compound: NiBi3Se
Source: the Alexandria database
Functional: PBE
Structure: optimized geometry

Computed properties:
excess energy over the best structure of this formula in the dataset: 700.1 meV per atom
magnetic moment: 0.13 μB per atom
raw formation energy: 1011 meV/atom

Cell: 5.512 5.512 5.512 Å, 90.00 90.00 90.00°
Fractional positions:
1 Ni 0.000 0.000 0.000
2 Bi 0.000 0.500 0.500
3 Bi 0.500 0.000 0.500
4 Bi 0.500 0.500 0.000
5 Se 0.500 0.500 0.500

Record 3
Compound: NiBi2Se
Source: the Alexandria database
Functional: PBE
Structure: optimized geometry

Computed properties:
magnetic moment: 0.00 μB per atom
raw formation energy: 96 meV/atom

Cell: 6.234 6.234 12.551 Å, 90.00 90.00 90.00°
Fractional positions:
1 Ni 0.000 0.000 0.000
2 Ni 0.000 0.500 0.250
3 Ni 0.500 0.000 0.750
4 Ni 0.500 0.500 0.500
5 Bi 0.190 0.250 0.125
6 Bi 0.250 0.690 0.375
7 Bi 0.250 0.810 0.875
8 Bi 0.310 0.250 0.625
9 Bi 0.690 0.750 0.625
10 Bi 0.750 0.190 0.875
11 Bi 0.750 0.310 0.375
12 Bi 0.810 0.750 0.125
13 Se 0.000 0.000 0.500
14 Se 0.000 0.500 0.750
15 Se 0.500 0.000 0.250
16 Se 0.500 0.500 0.000